# 1
DFT (PBE-GGA) results for a geometry-optimized PmTmRh2 structure.

Computed properties:
* space-group type: Fm-3m (225)
* excess energy over the best structure of this formula in the dataset: 1 meV/atom
* energy relative to the elements: -0.81 eV/atom
* crystal system: cubic

The structure in POSCAR format:
```
PmTmRh2
1.0
-3.764 -2.989 0.832
0.785 -4.750 0.788
-0.684 -1.880 4.449
Rh Tm Pm
2 1 1
Cartesian
-2.747 -7.214 4.552
-0.916 -2.405 1.517
-1.832 -4.809 3.035
0.000 0.000 0.000
```

=====

# 2
DFT (PBE-GGA) results for a geometry-optimized PmTm3Rh4 structure.

Computed properties:
* space-group type: R-3m (166)
* energy relative to the elements: -0.89 eV/atom
* crystal system: trigonal

The structure in POSCAR format:
```
PmTm3Rh4
1.0
-2.049 -0.040 4.364
-3.037 -3.546 1.205
4.364 -5.432 4.663
Rh Pm Tm
4 1 3
Cartesian
2.059 -3.820 3.595
1.868 -6.067 6.148
-2.780 -5.198 6.637
-2.590 -2.950 4.084
0.000 0.000 0.000
-0.573 -6.741 7.659
-0.361 -4.509 5.116
-0.149 -2.276 2.573
```

=====

# 3
DFT (PBE-GGA) results for a geometry-optimized Pm3Tm4Rh4 structure.

Computed properties:
* space-group type: Immm (71)
* energy relative to the elements: -0.64 eV/atom
* crystal system: orthorhombic

The structure in POSCAR format:
```
Pm3Tm4Rh4
1.0
-1.227 0.623 -3.591
8.078 -1.600 -3.038
-5.210 -7.160 2.599
Pm Tm Rh
3 4 4
Cartesian
2.007 -6.567 -3.884
-0.366 -1.570 -0.147
4.039 -0.800 -1.519
4.354 -3.351 -4.128
-2.713 -4.786 0.098
1.302 -2.747 -2.981
0.339 -5.391 -1.050
-1.531 -3.619 -2.164
1.160 -0.040 -2.463
3.172 -4.518 -1.867
5.691 -0.938 -4.167
```

=====

# 4
DFT (PBE-GGA) results for a geometry-optimized Pm2Tm2Rh15 structure.

Computed properties:
* space-group type: R-3m (166)
* energy relative to the elements: -0.38 eV/atom
* crystal system: trigonal

The structure in POSCAR format:
```
Pm2Tm2Rh15
1.0
-6.197 0.137 3.095
-1.480 -6.743 -0.593
2.074 -1.962 6.313
Rh Pm Tm
15 2 2
Cartesian
-4.760 -1.959 1.971
-2.690 -6.317 2.793
-2.918 -4.646 0.531
0.991 -3.419 4.209
-5.011 -2.931 4.608
1.037 -0.981 3.157
-0.447 -1.322 5.332
-4.663 -4.604 2.623
-0.397 -5.286 1.512
-0.941 -3.964 6.192
-3.677 -0.503 4.075
-3.099 0.068 1.547
-0.740 -3.371 -0.296
-0.593 -5.637 4.207
-2.914 -2.251 6.022
-3.599 -5.503 5.662
-2.005 -3.065 3.154
-0.610 -0.933 0.960
-4.994 -7.635 7.856
```

=====

# 5
DFT (PBE-GGA) results for a geometry-optimized PmTm2Rh3 structure.

Computed properties:
* space-group type: P4/mmm (123)
* excess energy over the best structure of this formula in the dataset: 0 meV/atom
* energy relative to the elements: -0.86 eV/atom
* crystal system: tetragonal

The structure in POSCAR format:
```
PmTm2Rh3
1.0
-2.175 1.416 -2.226
1.141 -2.096 -2.448
-7.175 -6.940 2.597
Pm Tm Rh
1 2 3
Cartesian
-4.104 -3.810 -1.038
-6.523 -6.149 -0.163
-1.686 -1.471 -1.914
0.000 0.000 0.000
-2.304 -2.228 0.834
-4.872 -4.712 1.763
```

=====

# 6
DFT (PBE-GGA) results for a geometry-optimized Pm3TmRh structure.

Computed properties:
* space-group type: Pm-3m (221)
* energy relative to the elements: -0.11 eV/atom
* crystal system: cubic

The structure in POSCAR format:
```
Pm3TmRh
1.0
-1.350 -5.324 -0.607
2.909 -0.202 -4.694
4.500 -1.466 2.852
Pm Rh Tm
3 1 1
Cartesian
2.250 -0.733 1.426
-0.675 -2.662 -0.303
1.454 -0.101 -2.347
0.000 0.000 0.000
3.030 -3.496 -1.225
```

=====

# 7
DFT (PBE-GGA) results for a geometry-optimized Pm4Tm3Rh4 structure.

Computed properties:
* space-group type: Immm (71)
* energy relative to the elements: -0.56 eV/atom
* crystal system: orthorhombic

The structure in POSCAR format:
```
Pm4Tm3Rh4
1.0
3.625 0.000 0.000
0.000 8.957 0.000
-1.813 -4.478 8.218
Rh Pm Tm
4 4 3
Cartesian
1.813 1.931 0.000
1.813 0.000 3.865
1.813 7.026 0.000
0.000 4.478 4.353
0.000 1.665 5.536
0.000 -1.665 5.536
1.813 6.144 2.682
1.813 2.813 2.682
0.000 0.000 1.611
1.813 4.478 6.607
0.000 4.478 0.000
```

=====

# 8
DFT (PBE-GGA) results for a geometry-optimized Pm3Tm2Rh2 structure.

Computed properties:
* space-group type: C2/m (12)
* energy relative to the elements: -0.52 eV/atom
* crystal system: monoclinic

The structure in POSCAR format:
```
Pm3Tm2Rh2
1.0
-3.724 -0.097 1.045
-0.312 1.471 6.185
-2.014 8.311 0.759
Rh Tm Pm
2 2 3
Cartesian
-2.497 7.589 6.131
-3.553 2.095 1.859
-4.892 7.457 4.746
-1.157 2.227 3.243
-2.551 4.694 5.667
-3.498 4.991 2.322
-1.862 -0.049 0.523
```